No. 1
! BaYRh3 PBE relaxed; values from VASP
&SYSTEM
  ibrav = 0, nat = 5, ntyp = 3
/
ATOMIC_SPECIES
Rh 102.91 Rh.upf
Y 88.91 Y.upf
Ba 137.33 Ba.upf
CELL_PARAMETERS angstrom
-1.976 -4.507 1.141
4.431 -1.450 1.947
-1.410 1.762 4.520
ATOMIC_POSITIONS angstrom
Rh -0.988 -2.254 0.570
Rh -0.705 0.881 2.260
Rh 2.215 -0.725 0.973
Y 0.523 -2.098 3.804
Ba 0.000 0.000 0.000
! - ΔH_f (0 K) (eV/atom) = 1.04
! - density of states at the Fermi level (states/eV/f.u.) = 1.006
! - E_tot (eV/atom) = -5.05
! - space-group type = Pm-3m, No. 221

No. 2
! BaY2Rh PBE relaxed; values from VASP
&SYSTEM
  ibrav = 0, nat = 4, ntyp = 3
/
ATOMIC_SPECIES
Y 88.91 Y.upf
Rh 102.91 Rh.upf
Ba 137.33 Ba.upf
CELL_PARAMETERS angstrom
6.435 0.113 0.026
-2.671 5.238 -0.161
0.827 0.790 3.329
ATOMIC_POSITIONS angstrom
Y 0.000 0.000 0.000
Y -0.922 3.014 1.584
Rh 3.631 0.452 1.677
Ba 1.882 2.675 -0.068
! - ΔH_f (0 K) (eV/atom) = 0.28
! - density of states at the Fermi level (states/eV/f.u.) = 4.979
! - E_tot (eV/atom) = -5.27
! - space-group type = C2/m, No. 12

No. 3
! BaY2Rh PBE relaxed; values from VASP
&SYSTEM
  ibrav = 0, nat = 4, ntyp = 3
/
ATOMIC_SPECIES
Y 88.91 Y.upf
Ba 137.33 Ba.upf
Rh 102.91 Rh.upf
CELL_PARAMETERS angstrom
3.570 0.000 0.000
0.000 3.574 -0.016
0.000 3.601 9.809
ATOMIC_POSITIONS angstrom
Y 0.000 3.599 8.948
Y 0.000 3.589 5.759
Ba 1.785 1.794 2.448
Rh 1.785 5.381 7.345
! - ΔH_f (0 K) (eV/atom) = -0.32
! - density of states at the Fermi level (states/eV/f.u.) = 3.367
! - E_tot (eV/atom) = -5.87
! - space-group type = P2/m, No. 10

Q: Number 1 is which compound?
A: BaYRh3